Here is a relaxed Dy2Er5Te2Ir2 crystal from the Open Quantum Materials Database. Energies are from PBE.

Cell and atoms, written as POSCAR:
```
Dy2Er5Te2Ir2
1.0
-1.959 7.821 4.710
1.959 -7.821 4.710
1.959 7.821 -4.710
Dy Er Te Ir
2 5 2 2
direct
0.131 0.000 0.131
0.869 0.000 0.869
0.105 0.790 0.315
0.418 0.418 0.000
0.475 0.790 0.685
0.502 0.149 0.354
0.795 0.149 0.646
0.155 0.655 0.500
0.753 0.753 0.000
0.253 0.490 0.763
0.727 0.490 0.237
```

Values from the calculation:
Total energy = -6.017 eV/atom
Total magnetization = 0.01 μB/cell
SG = Imm2, No. 44